KLi2BPb: relaxed, PBE.

Output
N(E_F) = 1.01 states/eV per cell
Formation energy from the elements = 341 meV/atom
Total magnetic moment = 0.00 μB/atom

Lattice parameters (Å, degrees): 4.884 5.011 4.884 90.00 90.00 90.00
Positions (direct):
Pb 0.000 0.500 0.000
K 0.500 0.500 0.500
B 0.000 0.000 0.000
Li 0.000 0.000 0.500
Li 0.500 0.000 0.000